No. 1
A plane-wave DFT calculation with PBE was carried out for a geometry-optimized Ta2VHIr structure.

Crystal system: tetragonal
Total magnetic moment in μB per cell: 0.0
Excess energy over the best structure of this formula in the dataset in meV/atom: 0
SG: P4/mmm, No. 123

abc: 4.3533 4.3533 3.4960
angles: 90.00 90.00 90.00
Last column: nearest neighbours and their distance in Å.
Fractional coordinates of all 5 atoms:
Ta 0.0000 0.5000 0.0000  2 H 2.18
Ta 0.5000 0.0000 0.0000  2 H 2.18
V 0.0000 0.0000 0.5000  2 H 1.75
H 0.0000 0.0000 0.0000  2 V 1.75
Ir 0.5000 0.5000 0.5000  8 Ta 2.79, 4 V 3.08

***

No. 2
A plane-wave DFT calculation with PBE was carried out for a geometry-optimized Ta2VHIr structure.

Crystal system: tetragonal
Total magnetic moment in μB per cell: 0.0
Excess energy over the best structure of this formula in the dataset in meV/atom: 88
SG: P4/mmm, No. 123

abc: 4.3219 4.3219 3.6012
angles: 90.00 90.00 90.00
Last column: nearest neighbours and their distance in Å.
Fractional coordinates of all 5 atoms:
Ta 0.0000 0.5000 0.0000  2 H 2.16
Ta 0.5000 0.0000 0.0000  2 H 2.16
V 0.0000 0.0000 0.5000  8 Ta 2.81, 4 Ir 3.06
H 0.5000 0.5000 0.0000  2 Ir 1.80
Ir 0.5000 0.5000 0.5000  2 H 1.80

***

No. 3
A plane-wave DFT calculation with PBE was carried out for a geometry-optimized Ta2HIrW structure.

Crystal system: tetragonal
Total magnetic moment in μB per cell: 0.0
Excess energy over the best structure of this formula in the dataset in meV/atom: 0
SG: P4/mmm, No. 123

abc: 4.4142 4.4142 3.5626
angles: 90.00 90.00 90.00
Last column: nearest neighbours and their distance in Å.
Fractional coordinates of all 5 atoms:
Ta 0.0000 0.5000 0.0000  2 H 2.21
Ta 0.5000 0.0000 0.0000  2 H 2.21
H 0.0000 0.0000 0.0000  2 Ir 1.78
Ir 0.0000 0.0000 0.5000  2 H 1.78
W 0.5000 0.5000 0.5000  8 Ta 2.84, 4 Ir 3.12

***

No. 4
A plane-wave DFT calculation with PBE was carried out for a geometry-optimized Ta2HIrW structure.

Crystal system: tetragonal
Total magnetic moment in μB per cell: 0.0
Excess energy over the best structure of this formula in the dataset in meV/atom: 26
SG: P4/mmm, No. 123

abc: 4.2805 4.2805 3.7683
angles: 90.00 90.00 90.00
Last column: nearest neighbours and their distance in Å.
Fractional coordinates of all 5 atoms:
Ta 0.0000 0.5000 0.0000  2 H 2.14
Ta 0.5000 0.0000 0.0000  2 H 2.14
H 0.0000 0.0000 0.0000  2 W 1.88
Ir 0.5000 0.5000 0.5000  8 Ta 2.85, 4 W 3.03
W 0.0000 0.0000 0.5000  2 H 1.88

***

No. 5
A plane-wave DFT calculation with PBE was carried out for a geometry-optimized Ta2ZnHIr structure.

Crystal system: tetragonal
Total magnetic moment in μB per cell: 0.0
Excess energy over the best structure of this formula in the dataset in meV/atom: 0
SG: P4/mmm, No. 123

abc: 4.1211 4.1211 3.9438
angles: 90.00 90.00 90.00
Last column: nearest neighbours and their distance in Å.
Fractional coordinates of all 5 atoms:
Ta 0.0000 0.5000 0.0000  2 H 2.06
Ta 0.5000 0.0000 0.0000  2 H 2.06
Zn 0.0000 0.0000 0.5000  8 Ta 2.85, 4 Ir 2.91
H 0.5000 0.5000 0.0000  2 Ir 1.97, 4 Ta 2.06
Ir 0.5000 0.5000 0.5000  2 H 1.97

***

No. 6
A plane-wave DFT calculation with PBE was carried out for a geometry-optimized Ta2ZnHIr structure.

Crystal system: tetragonal
Total magnetic moment in μB per cell: 0.0
Excess energy over the best structure of this formula in the dataset in meV/atom: 9
SG: P4/mmm, No. 123

abc: 4.0496 4.0496 4.0696
angles: 90.00 90.00 90.00
Last column: nearest neighbours and their distance in Å.
Fractional coordinates of all 5 atoms:
Ta 0.0000 0.5000 0.0000  2 H 2.02
Ta 0.5000 0.0000 0.0000  2 H 2.02
Zn 0.0000 0.0000 0.5000  2 H 2.03
H 0.0000 0.0000 0.0000  4 Ta 2.02, 2 Zn 2.03
Ir 0.5000 0.5000 0.5000  4 Zn 2.86, 8 Ta 2.87

***

No. 7
A plane-wave DFT calculation with PBE was carried out for a geometry-optimized ZrTa2HIr structure.

Crystal system: tetragonal
Total magnetic moment in μB per cell: 0.0
SG: P4/mmm, No. 123

abc: 4.0330 4.0330 4.6016
angles: 90.00 90.00 90.00
Last column: nearest neighbours and their distance in Å.
Fractional coordinates of all 5 atoms:
Zr 0.0000 0.0000 0.0000  2 H 2.30
Ta 0.0000 0.5000 0.5000  2 H 2.02
Ta 0.5000 0.0000 0.5000  2 H 2.02
H 0.0000 0.0000 0.5000  4 Ta 2.02
Ir 0.5000 0.5000 0.0000  4 Zr 2.85, 8 Ta 3.06

***

No. 8
A plane-wave DFT calculation with PBE was carried out for a geometry-optimized TbH2Ir structure.

Crystal system: trigonal
Total magnetic moment in μB per cell: 0.0
SG: R-3m, No. 166

abc: 3.9965 3.9965 11.4107
angles: 90.00 90.00 120.00
Last column: nearest neighbours and their distance in Å.
Fractional coordinates of all 12 atoms:
Tb 0.0000 0.0000 0.0000  6 H 2.32
Tb 0.3333 0.6667 0.6667  6 H 2.32
Tb 0.6667 0.3333 0.3333  6 H 2.32
H 0.0000 0.0000 0.3528  1 Ir 1.68
H 0.0000 0.0000 0.6472  1 Ir 1.68
H 0.3333 0.6667 0.0194  1 Ir 1.68
H 0.3333 0.6667 0.3139  1 Ir 1.68
H 0.6667 0.3333 0.6861  1 Ir 1.68
H 0.6667 0.3333 0.9806  1 Ir 1.68
Ir 0.0000 0.0000 0.5000  2 H 1.68
Ir 0.3333 0.6667 0.1667  2 H 1.68
Ir 0.6667 0.3333 0.8333  2 H 1.68

***

No. 9
A plane-wave DFT calculation with PBE was carried out for a geometry-optimized Tb4HIr2 structure.

Crystal system: tetragonal
Total magnetic moment in μB per cell: 0.0
SG: I4/mmm, No. 139

abc: 4.5777 4.5777 14.4974
angles: 90.00 90.00 90.00
Last column: nearest neighbours and their distance in Å.
Fractional coordinates of all 14 atoms:
Tb 0.0000 0.0000 0.1876  1 Ir 2.70, 1 H 2.72
Tb 0.0000 0.0000 0.8124  1 Ir 2.70, 1 H 2.72
Tb 0.0000 0.5000 0.0000  2 H 2.29
Tb 0.0000 0.5000 0.5000  2 H 2.29
Tb 0.5000 0.0000 0.0000  2 H 2.29
Tb 0.5000 0.0000 0.5000  2 H 2.29
Tb 0.5000 0.5000 0.3124  1 Ir 2.70, 1 H 2.72
Tb 0.5000 0.5000 0.6876  1 Ir 2.70, 1 H 2.72
H 0.0000 0.0000 0.0000  4 Tb 2.29
H 0.5000 0.5000 0.5000  4 Tb 2.29
Ir 0.0000 0.0000 0.3735  5 Tb 2.70-2.93
Ir 0.0000 0.0000 0.6265  5 Tb 2.70-2.93
Ir 0.5000 0.5000 0.1265  5 Tb 2.70-2.93
Ir 0.5000 0.5000 0.8735  5 Tb 2.70-2.93

***

No. 10
A plane-wave DFT calculation with PBE was carried out for a geometry-optimized TbH6Ir structure.

Crystal system: trigonal
Total magnetic moment in μB per cell: 0.0
SG: R-3m, No. 166

abc: 4.6392 4.6392 4.6392
angles: 57.26 57.26 57.26
Last column: nearest neighbours and their distance in Å.
Fractional coordinates of all 8 atoms:
Tb 0.0000 0.0000 0.0000  12 H 2.45
H 0.0602 0.6017 0.6017  1 Ir 1.66
H 0.3983 0.3983 0.9398  1 Ir 1.66
H 0.3983 0.9398 0.3983  1 Ir 1.66
H 0.6017 0.0602 0.6017  1 Ir 1.66
H 0.6017 0.6017 0.0602  1 Ir 1.66
H 0.9398 0.3983 0.3983  1 Ir 1.66
Ir 0.5000 0.5000 0.5000  6 H 1.66

***

No. 11
A plane-wave DFT calculation with PBE was carried out for a geometry-optimized Tb3H12Ir5 structure.

Crystal system: cubic
Total magnetic moment in μB per cell: 0.0
SG: Ia-3d, No. 230

abc: 10.0977 10.0977 10.0977
angles: 109.47 109.47 109.47
Last column: nearest neighbours and their distance in Å.
Fractional coordinates of all 80 atoms:
Tb 0.1250 0.2500 0.3750  8 H 2.34-2.36
Tb 0.1250 0.3750 0.7500  8 H 2.34-2.36
Tb 0.2500 0.3750 0.1250  8 H 2.34-2.36
Tb 0.2500 0.8750 0.6250  8 H 2.34-2.36
Tb 0.3750 0.1250 0.2500  8 H 2.34-2.36
Tb 0.3750 0.7500 0.1250  8 H 2.34-2.36
Tb 0.6250 0.2500 0.8750  8 H 2.34-2.36
Tb 0.6250 0.8750 0.7500  8 H 2.34-2.36
Tb 0.7500 0.1250 0.3750  8 H 2.34-2.36
Tb 0.7500 0.6250 0.8750  8 H 2.34-2.36
Tb 0.8750 0.6250 0.2500  8 H 2.34-2.36
Tb 0.8750 0.7500 0.6250  8 H 2.34-2.36
H 0.0167 0.1929 0.1036  2 Ir 1.76-1.80
H 0.0167 0.3238 0.9131  2 Ir 1.76-1.80
H 0.0869 0.6036 0.4107  2 Ir 1.76-1.80
H 0.0869 0.9833 0.6762  2 Ir 1.76-1.80
H 0.0893 0.6929 0.6762  2 Ir 1.76-1.80
H 0.0893 0.8964 0.4131  2 Ir 1.76-1.80
H 0.1036 0.0167 0.1929  2 Ir 1.76-1.80
H 0.1036 0.5869 0.9107  2 Ir 1.76-1.80
H 0.1762 0.1929 0.5893  2 Ir 1.76-1.80
H 0.1762 0.4833 0.5869  2 Ir 1.76-1.80
H 0.1929 0.1036 0.0167  2 Ir 1.76-1.80
H 0.1929 0.5893 0.1762  2 Ir 1.76-1.80
H 0.3071 0.3238 0.9107  2 Ir 1.76-1.80
H 0.3071 0.4833 0.3964  2 Ir 1.76-1.80
H 0.3238 0.9107 0.3071  2 Ir 1.76-1.80
H 0.3238 0.9131 0.0167  2 Ir 1.76-1.80
H 0.3964 0.3071 0.4833  2 Ir 1.76-1.80
H 0.3964 0.5893 0.9131  2 Ir 1.76-1.80
H 0.4107 0.0869 0.6036  2 Ir 1.76-1.80
H 0.4107 0.8238 0.8071  2 Ir 1.76-1.80
H 0.4131 0.0893 0.8964  2 Ir 1.76-1.80
H 0.4131 0.8238 0.5167  2 Ir 1.76-1.80
H 0.4833 0.3964 0.3071  2 Ir 1.76-1.80
H 0.4833 0.5869 0.1762  2 Ir 1.76-1.80
H 0.5167 0.4131 0.8238  2 Ir 1.76-1.80
H 0.5167 0.6036 0.6929  2 Ir 1.76-1.80
H 0.5869 0.1762 0.4833  2 Ir 1.76-1.80
H 0.5869 0.9107 0.1036  2 Ir 1.76-1.80
H 0.5893 0.1762 0.1929  2 Ir 1.76-1.80
H 0.5893 0.9131 0.3964  2 Ir 1.76-1.80
H 0.6036 0.4107 0.0869  2 Ir 1.76-1.80
H 0.6036 0.6929 0.5167  2 Ir 1.76-1.80
H 0.6762 0.0869 0.9833  2 Ir 1.76-1.80
H 0.6762 0.0893 0.6929  2 Ir 1.76-1.80
H 0.6929 0.5167 0.6036  2 Ir 1.76-1.80
H 0.6929 0.6762 0.0893  2 Ir 1.76-1.80
H 0.8071 0.4107 0.8238  2 Ir 1.76-1.80
H 0.8071 0.8964 0.9833  2 Ir 1.76-1.80
H 0.8238 0.5167 0.4131  2 Ir 1.76-1.80
H 0.8238 0.8071 0.4107  2 Ir 1.76-1.80
H 0.8964 0.4131 0.0893  2 Ir 1.76-1.80
H 0.8964 0.9833 0.8071  2 Ir 1.76-1.80
H 0.9107 0.1036 0.5869  2 Ir 1.76-1.80
H 0.9107 0.3071 0.3238  2 Ir 1.76-1.80
H 0.9131 0.0167 0.3238  2 Ir 1.76-1.80
H 0.9131 0.3964 0.5893  2 Ir 1.76-1.80
H 0.9833 0.6762 0.0869  2 Ir 1.76-1.80
H 0.9833 0.8071 0.8964  2 Ir 1.76-1.80
Ir 0.0000 0.0000 0.0000  6 H 1.80
Ir 0.0000 0.0000 0.5000  6 H 1.80
Ir 0.0000 0.5000 0.0000  6 H 1.80
Ir 0.0000 0.5000 0.5000  6 H 1.80
Ir 0.1250 0.7500 0.8750  4 H 1.76
Ir 0.1250 0.8750 0.2500  4 H 1.76
Ir 0.2500 0.1250 0.8750  4 H 1.76
Ir 0.2500 0.6250 0.3750  4 H 1.76
Ir 0.3750 0.2500 0.6250  4 H 1.76
Ir 0.3750 0.6250 0.7500  4 H 1.76
Ir 0.5000 0.0000 0.0000  6 H 1.80
Ir 0.5000 0.0000 0.5000  6 H 1.80
Ir 0.5000 0.5000 0.0000  6 H 1.80
Ir 0.5000 0.5000 0.5000  6 H 1.80
Ir 0.6250 0.3750 0.2500  4 H 1.76
Ir 0.6250 0.7500 0.3750  4 H 1.76
Ir 0.7500 0.3750 0.6250  4 H 1.76
Ir 0.7500 0.8750 0.1250  4 H 1.76
Ir 0.8750 0.1250 0.7500  4 H 1.76
Ir 0.8750 0.2500 0.1250  4 H 1.76

***

No. 12
A plane-wave DFT calculation with PBE was carried out for a geometry-optimized Tb2HIr structure.

Crystal system: monoclinic
Total magnetic moment in μB per cell: 0.0
Excess energy over the best structure of this formula in the dataset in meV/atom: 0
SG: C2/m, No. 12

abc: 13.7597 3.7192 6.8541
angles: 90.00 113.03 90.00
Last column: nearest neighbours and their distance in Å.
Fractional coordinates of all 16 atoms:
Tb 0.0150 0.0000 0.2558  2 H 2.21-2.28
Tb 0.2148 0.5000 0.7542  2 H 2.34
Tb 0.2852 0.0000 0.2458  2 H 2.34
Tb 0.4850 0.5000 0.7442  2 H 2.21-2.28
Tb 0.5150 0.5000 0.2558  2 H 2.21-2.28
Tb 0.7148 0.0000 0.7542  2 H 2.34
Tb 0.7852 0.5000 0.2458  2 H 2.34
Tb 0.9850 0.0000 0.7442  2 H 2.21-2.28
H 0.1097 0.0000 0.6018  4 Tb 2.21-2.34
H 0.3903 0.5000 0.3982  4 Tb 2.21-2.34
H 0.6097 0.5000 0.6018  4 Tb 2.21-2.34
H 0.8903 0.0000 0.3982  4 Tb 2.21-2.34
Ir 0.1164 0.5000 0.0644  7 Tb 2.85-2.93, 1 Ir 2.97
Ir 0.3836 0.0000 0.9356  7 Tb 2.85-2.93, 1 Ir 2.97
Ir 0.6164 0.0000 0.0644  7 Tb 2.85-2.93, 1 Ir 2.97
Ir 0.8836 0.5000 0.9356  7 Tb 2.85-2.93, 1 Ir 2.97

***

| no. | final energy (hartree per atom) |
| --- | --- |
| 1 | -0.3407 |
| 2 | -0.3375 |
| 3 | -0.3652 |
| 4 | -0.3642 |
| 5 | -0.2787 |
| 6 | -0.2784 |
| 7 | -0.3351 |
| 8 | -0.2030 |
| 9 | -0.2292 |
| 10 | -0.1711 |
| 11 | -0.1887 |
| 12 | -0.2223 |